DFT (PBE) results for an optimized crystal structure of MgPaGe2.

Summary:
DFT formation energy: -95 kJ/mol of formula units
Offset from the most stable computed form: 142.6 meV per atom
DFT total energy: -5.33 eV/atom
Size of the total moment: 0.000 μB/f.u.

Cell lengths 6.9063, 6.9063, 6.9063 Å; angles 90.00, 90.00, 90.00 degrees
Fractional positions:
Mg (0.0000, 0.0000, 0.0000)
Mg (0.0000, 0.5000, 0.5000)
Mg (0.5000, 0.0000, 0.5000)
Mg (0.5000, 0.5000, 0.0000)
Pa (0.0000, 0.0000, 0.5000)
Pa (0.0000, 0.5000, 0.0000)
Pa (0.5000, 0.0000, 0.0000)
Pa (0.5000, 0.5000, 0.5000)
Ge (0.2500, 0.2500, 0.2500)
Ge (0.2500, 0.2500, 0.7500)
Ge (0.2500, 0.7500, 0.2500)
Ge (0.2500, 0.7500, 0.7500)
Ge (0.7500, 0.2500, 0.2500)
Ge (0.7500, 0.2500, 0.7500)
Ge (0.7500, 0.7500, 0.2500)
Ge (0.7500, 0.7500, 0.7500)